1.
This record from Alexandria describes Sm3Tm3CuS8 after structural relaxation. The functional is PBE.

```
Sm3Tm3CuS8
1.0
3.8842 2.2426 6.3981
-3.8842 2.2426 6.3981
0.0000 -4.4851 6.3981
Sm Tm Cu S
3 3 1 8
direct
0.0000 0.5000 0.5000
0.5000 0.0000 0.5000
0.5000 0.5000 0.0000
0.0000 0.0000 0.5000
0.0000 0.5000 0.0000
0.5000 0.0000 0.0000
0.5000 0.5000 0.5000
0.2457 0.2457 0.2457
0.2471 0.7438 0.7438
0.2562 0.2562 0.7529
0.2562 0.7529 0.2562
0.7438 0.2471 0.7438
0.7438 0.7438 0.2471
0.7529 0.2562 0.2562
0.7543 0.7543 0.7543
```

Computed properties:
total DFT energy (no corrections) = -6.122 eV/atom
space-group type = R-3m
total magnetization = 0.000 μB/cell
uncorrected formation energy = -27.14 eV/f.u.


2.
This record from Alexandria describes Sm2TmCuS5 after structural relaxation. The functional is PBE.

```
Sm2TmCuS5
1.0
1.9364 -8.3510 0.0000
1.9364 8.3510 0.0000
0.0000 0.0000 11.5457
Sm Tm Cu S
4 2 2 10
direct
0.1082 0.8918 0.5000
0.1225 0.8775 0.1233
0.8775 0.1225 0.6233
0.8918 0.1082 0.0000
0.1951 0.8049 0.8243
0.8049 0.1951 0.3243
0.4417 0.5583 0.2692
0.5583 0.4417 0.7692
0.0436 0.9564 0.8753
0.2883 0.7117 0.4864
0.3132 0.6868 0.1628
0.3567 0.6433 0.8155
0.4984 0.5016 0.5929
0.5016 0.4984 0.0929
0.6433 0.3567 0.3155
0.6868 0.3132 0.6628
0.7117 0.2883 0.9864
0.9564 0.0436 0.3753
```

Computed properties:
total DFT energy (no corrections) = -6.043 eV/atom
space-group type = Cmc2_1
total magnetization = 0.000 μB/cell
uncorrected formation energy = -15.74 eV/f.u.


3.
This record from Alexandria describes Sm2UCuS6 after structural relaxation. The functional is PBE.

```
Sm2UCuS6
1.0
6.5610 0.0000 0.0000
0.0000 6.5610 0.0000
0.0000 0.0000 5.7821
Sm U Cu S
2 1 1 6
direct
0.0000 0.5000 0.0000
0.5000 0.0000 0.0000
0.0000 0.0000 0.6293
0.5000 0.5000 0.5535
0.0000 0.0000 0.1594
0.2639 0.2639 0.7235
0.2639 0.7361 0.7235
0.5000 0.5000 0.1728
0.7361 0.2639 0.7235
0.7361 0.7361 0.7235
```

Computed properties:
total DFT energy (no corrections) = -6.148 eV/atom
space-group type = P4mm
total magnetization = 1.001 μB/cell
uncorrected formation energy = -11.89 eV/f.u.


4.
This record from Alexandria describes Sm2UCuS5 after structural relaxation. The functional is PBE.

```
Sm2UCuS5
1.0
1.9195 -8.2243 0.0000
1.9195 8.2243 0.0000
0.0000 0.0000 11.9673
Sm U Cu S
4 2 2 10
direct
0.1148 0.8852 0.5000
0.1159 0.8841 0.1542
0.8841 0.1159 0.6542
0.8852 0.1148 0.0000
0.1797 0.8203 0.8355
0.8203 0.1797 0.3355
0.4516 0.5484 0.2279
0.5484 0.4516 0.7279
0.0168 0.9832 0.8226
0.3003 0.6997 0.4982
0.3156 0.6844 0.1695
0.3453 0.6547 0.8279
0.4921 0.5079 0.5564
0.5079 0.4921 0.0564
0.6547 0.3453 0.3279
0.6844 0.3156 0.6695
0.6997 0.3003 0.9982
0.9832 0.0168 0.3226
```

Computed properties:
total DFT energy (no corrections) = -6.590 eV/atom
space-group type = Cmc2_1
total magnetization = 5.055 μB/cell
uncorrected formation energy = -13.85 eV/f.u.


5.
This record from Alexandria describes Sm3Y3CuS8 after structural relaxation. The functional is PBE.

```
Sm3Y3CuS8
1.0
3.9241 2.2656 6.4318
-3.9241 2.2656 6.4318
0.0000 -4.5311 6.4318
Sm Y Cu S
3 3 1 8
direct
0.0000 0.5000 0.5000
0.5000 0.0000 0.5000
0.5000 0.5000 0.0000
0.0000 0.0000 0.5000
0.0000 0.5000 0.0000
0.5000 0.0000 0.0000
0.5000 0.5000 0.5000
0.2476 0.2476 0.2476
0.2521 0.7429 0.7429
0.2571 0.2571 0.7479
0.2571 0.7479 0.2571
0.7429 0.2521 0.7429
0.7429 0.7429 0.2521
0.7479 0.2571 0.2571
0.7524 0.7524 0.7524
```

Computed properties:
total DFT energy (no corrections) = -6.531 eV/atom
space-group type = R-3m
total magnetization = 0.000 μB/cell
uncorrected formation energy = -27.31 eV/f.u.


6.
This record from Alexandria describes SmYCu2S4 after structural relaxation. The functional is PBE.

```
SmYCu2S4
1.0
-3.2618 3.3003 3.8162
3.2618 -3.3003 3.8162
3.2618 3.3003 -3.8162
Sm Y Cu S
1 1 2 4
direct
0.0000 0.0000 0.0000
0.5000 0.5000 0.0000
0.3312 0.8312 0.5000
0.6688 0.1688 0.5000
0.0747 0.0552 0.5158
0.4605 0.9448 0.0194
0.5395 0.5589 0.4842
0.9253 0.4411 0.9806
```

Computed properties:
total DFT energy (no corrections) = -5.682 eV/atom
space-group type = I222
total magnetization = 0.000 μB/cell
uncorrected formation energy = -9.57 eV/f.u.


no.,mass density (g/cm³)
1,6.35
2,6.17
3,5.30
4,6.70
5,5.02
6,5.00